Entry 1:
Here is BeGaRu2 after structural relaxation from the Alexandria database. Energies are from GGA-PBE.

It has space group P4/mmm (No. 123), with a = 2.911 Å, b = 2.911 Å, c = 5.877 Å, α = 90.00°, β = 90.00° and γ = 90.00°. The inequivalent atoms are Be at (0.000, 0.000, 0.000), Ga at (0.000, 0.000, 0.500) and Ru at (0.500, 0.500, 0.225).

Its formation energy from the elements is -0.225 eV per atom. The calculation puts the magnetization at 0.000 μB/f.u. The value obtained for the density of states at the Fermi level is 3.8 states/eV/f.u.

Entry 2:
Here is BeSiSb2 after structural relaxation from the Alexandria database. Energies are from GGA-PBE.

It has space group F-43m (No. 216), with a = 6.960 Å, b = 6.960 Å, c = 6.960 Å, α = 90.00°, β = 90.00° and γ = 90.00°. The inequivalent atoms are Be at (0.000, 0.000, 0.000), Si at (0.250, 0.250, 0.750), Sb at (0.000, 0.000, 0.500) and Sb at (0.250, 0.250, 0.250).

The calculation puts the magnetization at 0.000 μB/f.u. The energy relative to the elements, uncorrected is 0.787 eV per atom. The value obtained for the density of states at the Fermi level is 3.0 states/eV/f.u.

Entry 3:
Here is Sm4Y5Pu after structural relaxation from the Alexandria database. Energies are from GGA-PBE.

It has space group Pmmn (No. 59, origin choice 2), with a = 10.246 Å, b = 11.525 Å, c = 5.726 Å, α = 90.00°, β = 90.00° and γ = 90.00°. The inequivalent atoms are Sm at (0.030, 0.250, 0.250), Sm at (0.250, 0.569, 0.750), Y at (0.059, 0.557, 0.250), Y at (0.250, 0.250, 0.750) and Pu at (0.250, 0.750, 0.249).

Its formation energy from the elements is 0.257 eV per atom. The calculation puts the magnetization at 6.019 μB/f.u. The value obtained for the density of states at the Fermi level is 19.3 states/eV/f.u.

no.,density (g cm⁻³)
1,9.366
2,5.529
3,6.336